## A
# ScP2Br, relaxed, DFT PBE
# Fermi-level density of states   2.09 states/eV/f.u.
# Symmetry   P4/mmm, No. 123
data_ScP2Br
_space_group_name_H-M_alt 'P 1'
_space_group_IT_number 1
_space_group_name_Hall 'P 1'
_cell_length_a 3.6152
_cell_length_b 3.6152
_cell_length_c 6.2913
_cell_angle_alpha 90.00
_cell_angle_beta 90.00
_cell_angle_gamma 90.04
loop_
_atom_site_label
_atom_site_fract_x
_atom_site_fract_y
_atom_site_fract_z
_atom_site_occupancy
Br1 0.5000 0.5000 0.7500 1
P1 0.0000 0.0000 0.0791 1
P2 0.0000 0.0000 0.4209 1
Sc1 0.5000 0.5000 0.2500 1

---

## B
# ScP2Br, relaxed, DFT PBE
# Fermi-level density of states   1.57 states/eV/f.u.
# Symmetry   P4/mmm, No. 123
data_ScP2Br
_space_group_name_H-M_alt 'P 1'
_space_group_IT_number 1
_space_group_name_Hall 'P 1'
_cell_length_a 4.9114
_cell_length_b 4.9114
_cell_length_c 3.0919
_cell_angle_alpha 90.00
_cell_angle_beta 90.00
_cell_angle_gamma 90.00
loop_
_atom_site_label
_atom_site_fract_x
_atom_site_fract_y
_atom_site_fract_z
_atom_site_occupancy
Br1 0.0000 0.5000 0.5000 1
P1 0.0000 0.0000 0.0000 1
P2 0.5000 0.5000 0.0000 1
Sc1 0.5000 0.0000 0.5000 1

---

Stability ranking, top entry: A; the second entry is 629 meV/atom less favorable.